! TbSm4Al PBE optimized geometry; values from VASP
&SYSTEM
  ibrav = 0, nat = 6, ntyp = 3
/
ATOMIC_SPECIES
Tb 158.93 Tb.upf
Sm 150.36 Sm.upf
Al 26.98 Al.upf
CELL_PARAMETERS angstrom
3.5858 0.0000 0.0000
0.0000 3.5858 0.0000
0.0000 0.0000 14.3263
ATOMIC_POSITIONS angstrom
Tb 0.0000 0.0000 0.0000
Sm 0.0000 0.0000 5.2140
Sm 0.0000 0.0000 9.1123
Sm 1.7929 1.7929 2.5629
Sm 1.7929 1.7929 11.7634
Al 1.7929 1.7929 7.1631
! ΔH_f (0 K), eV/atom: -0.103
! Spin magnetization, μB/cell: 0.0
! E_tot, eV per atom: -4.64
! E above lowest polymorph, meV/atom: 0
! Crystal system: tetragonal